10
Lattice="-4.215 0.401 1.349 -2.158 -4.169 -5.502 0.770 -5.874 4.149" Properties=species:S:1:pos:R:3 comment="La2Si2Ge meta-GGA SCAN PBEsol geometry" space_group="P4/mbm (127)" m_tot_mub_per_fu=0.00 volume_a3_per_cell=232.5 e_tot_ev_per_atom=-25.74 e_form_raw_ev_per_fu=-3.4 rho_g_cm3=5.81 pbc="T T T"
Ge -0.694 -5.021 -0.677
La -2.655 -2.194 -0.323
Si -1.433 -7.304 -2.307
La -3.628 -5.081 -2.508
La -2.949 -7.448 0.319
Ge 0.000 0.000 0.000
Si 0.045 -2.739 0.954
Si -1.240 -3.250 -2.908
La -1.975 -4.561 2.503
Si -0.148 -6.792 1.555